# 1
The following is a PBE-GGA calculation of a relaxed structure of NbSn2Pt, from Alexandria via LeMat-Bulk.

Values from the calculation:
Distance to the lowest polymorph of the same formula: 202 meV/atom

a b c (Å): 6.766 6.766 6.766
angles (deg): 90.00 90.00 90.00
Fractional coordinates of all 16 atoms:
Nb: 0.000 0.000 0.000
Nb: 0.000 0.500 0.500
Nb: 0.500 0.000 0.500
Nb: 0.500 0.500 0.000
Sn: 0.250 0.250 0.250
Sn: 0.250 0.250 0.750
Sn: 0.250 0.750 0.250
Sn: 0.250 0.750 0.750
Sn: 0.750 0.250 0.250
Sn: 0.750 0.250 0.750
Sn: 0.750 0.750 0.250
Sn: 0.750 0.750 0.750
Pt: 0.000 0.000 0.500
Pt: 0.000 0.500 0.000
Pt: 0.500 0.000 0.000
Pt: 0.500 0.500 0.500


# 2
The following is a PBE-GGA calculation of a relaxed structure of Nb3SnPt, from Alexandria via LeMat-Bulk.

Values from the calculation:
Distance to the lowest polymorph of the same formula: 0 meV/atom

a b c (Å): 5.540 5.540 8.262
angles (deg): 94.77 94.77 50.64
Fractional coordinates of all 10 atoms:
Nb: 0.026 0.026 0.321
Nb: 0.137 0.137 0.959
Nb: 0.308 0.308 0.253
Nb: 0.692 0.692 0.747
Nb: 0.863 0.863 0.041
Nb: 0.974 0.974 0.679
Sn: 0.407 0.407 0.843
Sn: 0.593 0.593 0.157
Pt: 0.214 0.214 0.579
Pt: 0.786 0.786 0.421


# 3
The following is a PBE-GGA calculation of a relaxed structure of NbSnPt6, from Alexandria via LeMat-Bulk.

a b c (Å): 4.023 4.023 8.123
angles (deg): 90.00 90.00 90.00
Fractional coordinates of all 8 atoms:
Nb: 0.000 0.000 0.000
Sn: 0.000 0.000 0.500
Pt: 0.000 0.500 0.238
Pt: 0.000 0.500 0.762
Pt: 0.500 0.000 0.238
Pt: 0.500 0.000 0.762
Pt: 0.500 0.500 0.000
Pt: 0.500 0.500 0.500


# 4
The following is a PBE-GGA calculation of a relaxed structure of NbSn2Pt, from Alexandria via LeMat-Bulk.

Values from the calculation:
Distance to the lowest polymorph of the same formula: 0 meV/atom

a b c (Å): 4.607 4.607 3.616
angles (deg): 90.00 90.00 90.00
Fractional coordinates of all 4 atoms:
Nb: 0.000 0.000 0.000
Sn: 0.000 0.500 0.500
Sn: 0.500 0.000 0.500
Pt: 0.500 0.500 0.000


# 5
The following is a PBE-GGA calculation of a relaxed structure of NbSn2Pt, from Alexandria via LeMat-Bulk.

Values from the calculation:
Distance to the lowest polymorph of the same formula: 330 meV/atom

a b c (Å): 7.511 7.511 6.089
angles (deg): 90.00 90.00 90.00
Fractional coordinates of all 16 atoms:
Nb: 0.000 0.000 0.000
Nb: 0.000 0.500 0.250
Nb: 0.500 0.000 0.750
Nb: 0.500 0.500 0.500
Sn: 0.224 0.250 0.625
Sn: 0.250 0.724 0.875
Sn: 0.250 0.776 0.375
Sn: 0.276 0.250 0.125
Sn: 0.724 0.750 0.125
Sn: 0.750 0.224 0.375
Sn: 0.750 0.276 0.875
Sn: 0.776 0.750 0.625
Pt: 0.000 0.000 0.500
Pt: 0.000 0.500 0.750
Pt: 0.500 0.000 0.250
Pt: 0.500 0.500 0.000


# 6
The following is a PBE-GGA calculation of a relaxed structure of Nb2TlSnPt, from Alexandria via LeMat-Bulk.

a b c (Å): 5.035 5.035 5.075
angles (deg): 90.00 90.00 90.00
Fractional coordinates of all 5 atoms:
Nb: 0.000 0.500 0.000
Nb: 0.500 0.000 0.000
Tl: 0.000 0.000 0.500
Sn: 0.500 0.500 0.500
Pt: 0.000 0.000 0.000


# 7
The following is a PBE-GGA calculation of a relaxed structure of ZrNb2SnPt, from Alexandria via LeMat-Bulk.

a b c (Å): 4.871 4.871 5.303
angles (deg): 90.00 90.00 90.00
Fractional coordinates of all 5 atoms:
Zr: 0.000 0.000 0.000
Nb: 0.000 0.500 0.000
Nb: 0.500 0.000 0.000
Sn: 0.000 0.000 0.500
Pt: 0.500 0.500 0.500


# 8
The following is a PBE-GGA calculation of a relaxed structure of SrNbPt3, from Alexandria via LeMat-Bulk.

Values from the calculation:
Distance to the lowest polymorph of the same formula: 0 meV/atom

a b c (Å): 4.979 4.979 4.979
angles (deg): 90.00 90.00 90.00
Fractional coordinates of all 5 atoms:
Sr: 0.000 0.000 0.000
Nb: 0.500 0.500 0.500
Pt: 0.000 0.500 0.500
Pt: 0.500 0.000 0.500
Pt: 0.500 0.500 0.000


# 9
The following is a PBE-GGA calculation of a relaxed structure of SrNbPt, from Alexandria via LeMat-Bulk.

a b c (Å): 11.914 4.037 6.995
angles (deg): 90.00 90.00 90.00
Fractional coordinates of all 12 atoms:
Sr: 0.160 0.000 0.000
Sr: 0.160 0.500 0.500
Sr: 0.840 0.000 0.000
Sr: 0.840 0.500 0.500
Nb: 0.396 0.000 0.666
Nb: 0.396 0.500 0.166
Nb: 0.604 0.000 0.666
Nb: 0.604 0.500 0.166
Pt: 0.000 0.000 0.667
Pt: 0.000 0.500 0.167
Pt: 0.500 0.000 0.999
Pt: 0.500 0.500 0.499


# 10
The following is a PBE-GGA calculation of a relaxed structure of SrNb2Pt, from Alexandria via LeMat-Bulk.

Values from the calculation:
Distance to the lowest polymorph of the same formula: 10 meV/atom

a b c (Å): 4.365 4.365 20.864
angles (deg): 90.00 90.00 90.00
Fractional coordinates of all 16 atoms:
Sr: 0.000 0.000 0.000
Sr: 0.000 0.500 0.250
Sr: 0.500 0.000 0.750
Sr: 0.500 0.500 0.500
Nb: 0.119 0.250 0.625
Nb: 0.250 0.619 0.875
Nb: 0.250 0.881 0.375
Nb: 0.381 0.250 0.125
Nb: 0.619 0.750 0.125
Nb: 0.750 0.119 0.375
Nb: 0.750 0.381 0.875
Nb: 0.881 0.750 0.625
Pt: 0.000 0.000 0.500
Pt: 0.000 0.500 0.750
Pt: 0.500 0.000 0.250
Pt: 0.500 0.500 0.000


# 11
The following is a PBE-GGA calculation of a relaxed structure of SrNbPt3, from Alexandria via LeMat-Bulk.

Values from the calculation:
Distance to the lowest polymorph of the same formula: 1901 meV/atom

a b c (Å): 5.035 5.035 5.035
angles (deg): 90.00 90.00 90.00
Fractional coordinates of all 5 atoms:
Sr: 0.000 0.000 0.000
Nb: 0.500 0.500 0.500
Pt: 0.000 0.000 0.500
Pt: 0.000 0.500 0.000
Pt: 0.500 0.000 0.000


# 12
The following is a PBE-GGA calculation of a relaxed structure of Sr2NbPt2, from Alexandria via LeMat-Bulk.

a b c (Å): 7.000 7.000 5.011
angles (deg): 90.00 90.00 90.00
Fractional coordinates of all 10 atoms:
Sr: 0.175 0.325 0.000
Sr: 0.325 0.825 0.000
Sr: 0.675 0.175 0.000
Sr: 0.825 0.675 0.000
Nb: 0.000 0.000 0.500
Nb: 0.500 0.500 0.500
Pt: 0.140 0.640 0.500
Pt: 0.360 0.140 0.500
Pt: 0.640 0.860 0.500
Pt: 0.860 0.360 0.500


# 13
The following is a PBE-GGA calculation of a relaxed structure of SrNbPt2, from Alexandria via LeMat-Bulk.

Values from the calculation:
Distance to the lowest polymorph of the same formula: 66 meV/atom

a b c (Å): 7.533 7.533 7.122
angles (deg): 90.00 90.00 90.00
Fractional coordinates of all 16 atoms:
Sr: 0.000 0.000 0.000
Sr: 0.000 0.500 0.250
Sr: 0.500 0.000 0.750
Sr: 0.500 0.500 0.500
Nb: 0.000 0.000 0.500
Nb: 0.000 0.500 0.750
Nb: 0.500 0.000 0.250
Nb: 0.500 0.500 0.000
Pt: 0.184 0.250 0.625
Pt: 0.250 0.684 0.875
Pt: 0.250 0.816 0.375
Pt: 0.316 0.250 0.125
Pt: 0.684 0.750 0.125
Pt: 0.750 0.184 0.375
Pt: 0.750 0.316 0.875
Pt: 0.816 0.750 0.625


Taking the records one at a time from the top gives calculated volume values of 77.4 97.6 131.4 76.7 85.9 128.7 125.8 123.5 84.1 99.4 127.6 122.8 101.0 Å³/f.u..
Taking the records one at a time from the top gives D(E_F) values of 0.613 0.689 0.681 0.634 1.050 1.029 0.871 0.710 0.886 1.267 3.344 1.267 1.265 states/eV/atom.
Taking the records one at a time from the top gives DFT formation energy values of -4 -37 -389 -82 46 406 708 -39 29 201 878 -177 -38 kJ/mol of formula units.